[1]
A plane-wave DFT calculation with GGA-PBE was carried out for a geometry-optimized Pr2HF structure.

total magnetization = 0.00 μB per formula unit
raw total energy = -5.08 eV per atom

Lattice parameters (Å, degrees): 6.5615 6.5615 6.5615 32.58 32.58 32.58
Atoms (fractional coordinates):
Pr 0.2448 0.2448 0.2448
Pr 0.7552 0.7552 0.7552
H 0.5000 0.5000 0.5000
F 0.0000 0.0000 0.0000


[2]
A plane-wave DFT calculation with GGA-PBE was carried out for a geometry-optimized NdInCuPt3 structure.

total magnetization = 0.00 μB per formula unit
DFT formation energy = -341 meV/atom

Lattice parameters (Å, degrees): 8.9991 8.9991 5.6908 90.00 90.00 143.89
Atoms (fractional coordinates):
Nd 0.1946 0.8054 0.7500
Nd 0.8054 0.1946 0.2500
In 0.1015 0.8985 0.2500
In 0.8985 0.1015 0.7500
Cu 0.3998 0.6002 0.2500
Cu 0.6002 0.3998 0.7500
Pt 0.2558 0.7442 0.2500
Pt 0.2611 0.2611 0.0000
Pt 0.2611 0.2611 0.5000
Pt 0.7389 0.7389 0.0000
Pt 0.7389 0.7389 0.5000
Pt 0.7442 0.2558 0.7500


[3]
A plane-wave DFT calculation with GGA-PBE was carried out for a geometry-optimized PrNd2Zr structure.

total magnetization = 0.00 μB per formula unit
DFT formation energy = 343 meV/atom
energy above the lowest structure with this stoichiometry = 217.1 meV/atom

Lattice parameters (Å, degrees): 12.5081 12.5081 12.5081 15.86 15.86 15.86
Atoms (fractional coordinates):
Pr 0.0000 0.0000 0.0000
Nd 0.4160 0.4160 0.4160
Nd 0.5840 0.5840 0.5840
Zr 0.5000 0.5000 0.5000